# 1
CeHf2SiC4: relaxed, GGA-PBE.

Lattice parameters (Å, degrees): 5.8390 5.8390 11.3028 90.00 90.00 147.06
Closest atoms and distances in Å follow each position.
Fractional positions:
Ce 0.1044 0.8956 0.7500  6 C 2.55-2.65
Ce 0.8956 0.1044 0.2500  6 C 2.55-2.65
Hf 0.3675 0.6325 0.5453  6 C 2.21-2.42
Hf 0.3675 0.6325 0.9547  6 C 2.21-2.42
Hf 0.6325 0.3675 0.0453  6 C 2.21-2.42
Hf 0.6325 0.3675 0.4547  6 C 2.21-2.42
Si 0.1629 0.8371 0.2500  4 C 1.85-1.96
Si 0.8371 0.1629 0.7500  4 C 1.85-1.96
C 0.0000 0.0000 0.0000  4 Hf 2.28
C 0.0000 0.0000 0.5000  4 Hf 2.28
C 0.2640 0.7360 0.1208  1 Si 1.85
C 0.2640 0.7360 0.3792  1 Si 1.85
C 0.4306 0.5694 0.7500  2 Si 1.96
C 0.5694 0.4306 0.2500  2 Si 1.96
C 0.7360 0.2640 0.6208  1 Si 1.85
C 0.7360 0.2640 0.8792  1 Si 1.85

Properties
The calculation puts the theoretical density at 9086 kg/m3. As for the volume: 210 Å³ per cell. As for the total magnetic moment: 0.000 μB/f.u. For the uncorrected formation energy, the calculation gives -0.45 eV/atom.

=====

# 2
Pu2ZrSb3: relaxed, GGA-PBE.

Lattice parameters (Å, degrees): 9.6264 9.6264 9.6264 153.96 153.96 37.15
Closest atoms and distances in Å follow each position.
Fractional positions:
Pu 0.1675 0.1675 0.0000  6 Sb 3.06-3.13
Pu 0.8325 0.8325 0.0000  6 Sb 3.06-3.13
Zr 0.5000 0.5000 0.0000  6 Sb 2.94-3.07
Sb 0.0000 0.0000 0.0000  2 Pu 3.06, 4 Zr 3.07
Sb 0.3390 0.3390 0.0000  1 Zr 2.94, 5 Pu 3.07-3.13
Sb 0.6610 0.6610 0.0000  1 Zr 2.94, 5 Pu 3.07-3.13

Properties
The calculation puts the theoretical density at 9139 kg/m3. As for the volume: 172 Å³ per cell. As for the total magnetic moment: 10.682 μB/f.u. For the uncorrected formation energy, the calculation gives -0.59 eV/atom.

=====

# 3
BaMn2Cl: relaxed, GGA-PBE.

Lattice parameters (Å, degrees): 6.4148 6.4148 3.7046 90.00 90.00 126.28
Closest atoms and distances in Å follow each position.
Fractional positions:
Ba 0.0000 0.0000 0.0000  2 Cl 2.90
Mn 0.0000 0.5000 0.5000  2 Mn 2.90
Mn 0.5000 0.0000 0.5000  2 Mn 2.90
Cl 0.5000 0.5000 0.0000  2 Ba 2.90

Properties
The calculation puts the theoretical density at 3819 kg/m3. As for the volume: 123 Å³ per cell. As for the total magnetic moment: 8.774 μB/f.u. For the uncorrected formation energy, the calculation gives 0.33 eV/atom.

=====

# 4
CsCe2IO8: relaxed, GGA-PBE.

Lattice parameters (Å, degrees): 5.5387 5.5387 7.9132 102.67 102.67 74.36
Closest atoms and distances in Å follow each position.
Fractional positions:
Cs 0.0000 0.0000 0.0000  6 O 2.95-3.15
Ce 0.4466 0.4466 0.7688  5 O 2.14-2.25
Ce 0.5534 0.5534 0.2312  5 O 2.14-2.25
I 0.0000 0.0000 0.5000  6 O 1.89-1.91
O 0.1960 0.7889 0.3281  1 I 1.91
O 0.2111 0.8040 0.6719  1 I 1.91
O 0.2226 0.2226 0.5587  1 I 1.89
O 0.3554 0.3554 0.9924  2 Ce 2.14-2.19
O 0.6446 0.6446 0.0076  2 Ce 2.14-2.19
O 0.7774 0.7774 0.4413  1 I 1.89
O 0.7889 0.1960 0.3281  1 I 1.91
O 0.8040 0.2111 0.6719  1 I 1.91

Properties
The calculation puts the theoretical density at 4936 kg/m3. As for the volume: 225 Å³ per cell. As for the total magnetic moment: 0.000 μB/f.u. For the uncorrected formation energy, the calculation gives -1.89 eV/atom.

=====

# 5
AlIn2Mo: relaxed, GGA-PBE.

Lattice parameters (Å, degrees): 5.3617 5.3617 5.0873 96.29 96.29 31.96
Closest atoms and distances in Å follow each position.
Fractional positions:
Al 0.0000 0.0000 0.0000  6 In 2.92-3.22, 4 Mo 2.94, 2 Al 2.95
In 0.2387 0.2387 0.7425  6 In 2.91-2.99, 3 Al 2.92-3.22, 3 Mo 3.01-3.09
In 0.7613 0.7613 0.2575  6 In 2.91-2.99, 3 Al 2.92-3.22, 3 Mo 3.01-3.09
Mo 0.5000 0.5000 0.5000  4 Al 2.94, 2 Mo 2.95, 6 In 3.01-3.09

Properties
As for the energy of formation from the pure elements: 276.0 meV per atom. The calculation puts the theoretical density at 7611 kg/m3. As for the volume: 77 Å³ per cell. As for the total magnetic moment: 0.000 μB/f.u.

=====

# 6
Tb2Tm3Ni2: relaxed, GGA-PBE.

Lattice parameters (Å, degrees): 6.2916 6.2916 8.9115 115.51 115.51 32.87
Closest atoms and distances in Å follow each position.
Fractional positions:
Tb 0.1659 0.1659 0.3099  2 Ni 2.82
Tb 0.8341 0.8341 0.6901  2 Ni 2.82
Tm 0.3840 0.3840 0.0669  3 Ni 2.77-2.89
Tm 0.5000 0.5000 0.5000  4 Ni 2.84
Tm 0.6160 0.6160 0.9331  3 Ni 2.77-2.89
Ni 0.1720 0.1720 0.7392  5 Tm 2.77-2.89, 2 Tb 2.82
Ni 0.8280 0.8280 0.2608  5 Tm 2.77-2.89, 2 Tb 2.82

Properties
As for the energy of formation from the pure elements: -274.9 meV per atom. The calculation puts the theoretical density at 9143 kg/m3. As for the volume: 171 Å³ per cell. As for the total magnetic moment: 0.001 μB/f.u.